(1)
TiAlSi2: optimized geometry, PBE.

Geometry as CIF:
```
data_TiAlSi2
_space_group_name_H-M_alt 'P 1'
_space_group_IT_number 1
_space_group_name_Hall 'P 1'
_cell_length_a 5.878
_cell_length_b 5.878
_cell_length_c 5.878
_cell_angle_alpha 44.34
_cell_angle_beta 44.34
_cell_angle_gamma 44.34
loop_
_atom_site_label
_atom_site_fract_x
_atom_site_fract_y
_atom_site_fract_z
Ti1 0.000 0.000 0.000
Al1 0.500 0.500 0.500
Si1 0.350 0.350 0.350
Si2 0.650 0.650 0.650
```

Computed properties:
Formation energy (no corrections)   0.6011 eV per atom

***

(2)
CuPt4Cl: optimized geometry, PBE.

Geometry as CIF:
```
data_CuPt4Cl
_space_group_name_H-M_alt 'P 1'
_space_group_IT_number 1
_space_group_name_Hall 'P 1'
_cell_length_a 5.314
_cell_length_b 5.314
_cell_length_c 5.314
_cell_angle_alpha 60.00
_cell_angle_beta 60.00
_cell_angle_gamma 60.00
loop_
_atom_site_label
_atom_site_fract_x
_atom_site_fract_y
_atom_site_fract_z
Cu1 0.000 0.000 0.000
Pt1 0.374 0.374 0.374
Pt2 0.374 0.374 0.877
Pt3 0.374 0.877 0.374
Pt4 0.877 0.374 0.374
Cl1 0.750 0.750 0.750
```

Computed properties:
Formation energy (no corrections)   0.5259 eV per atom

***

(3)
Th2Ga4Ni3Os: optimized geometry, PBE.

Geometry as CIF:
```
data_Th2Ga4Ni3Os
_space_group_name_H-M_alt 'P 1'
_space_group_IT_number 1
_space_group_name_Hall 'P 1'
_cell_length_a 4.229
_cell_length_b 4.229
_cell_length_c 9.810
_cell_angle_alpha 90.00
_cell_angle_beta 90.00
_cell_angle_gamma 90.00
loop_
_atom_site_label
_atom_site_fract_x
_atom_site_fract_y
_atom_site_fract_z
Th1 0.000 0.500 0.243
Th2 0.500 0.000 0.757
Ga1 0.000 0.000 0.500
Ga2 0.000 0.500 0.866
Ga3 0.500 0.000 0.134
Ga4 0.500 0.500 0.500
Ni1 0.000 0.000 0.000
Ni2 0.000 0.500 0.625
Ni3 0.500 0.000 0.375
Os1 0.500 0.500 0.000
```

Computed properties:
ΔE_f   -0.52 eV/atom

***

(4)
Ce8SnOs6: optimized geometry, PBE.

Geometry as CIF:
```
data_Ce8SnOs6
_space_group_name_H-M_alt 'P 1'
_space_group_IT_number 1
_space_group_name_Hall 'P 1'
_cell_length_a 10.129
_cell_length_b 10.129
_cell_length_c 4.088
_cell_angle_alpha 90.00
_cell_angle_beta 90.00
_cell_angle_gamma 120.00
loop_
_atom_site_label
_atom_site_fract_x
_atom_site_fract_y
_atom_site_fract_z
Ce1 0.053 0.726 0.259
Ce2 0.274 0.327 0.259
Ce3 0.327 0.053 0.741
Ce4 0.333 0.667 0.754
Ce5 0.667 0.333 0.246
Ce6 0.673 0.947 0.259
Ce7 0.726 0.673 0.741
Ce8 0.947 0.274 0.741
Sn1 0.000 0.000 0.000
Os1 0.091 0.473 0.245
Os2 0.382 0.909 0.245
Os3 0.473 0.382 0.755
Os4 0.527 0.618 0.245
Os5 0.618 0.091 0.755
Os6 0.909 0.527 0.755
```

Computed properties:
ΔE_f   -0.14 eV/atom

***

(5)
BaZnSb: optimized geometry, PBE.

Geometry as CIF:
```
data_BaZnSb
_space_group_name_H-M_alt 'P 1'
_space_group_IT_number 1
_space_group_name_Hall 'P 1'
_cell_length_a 5.527
_cell_length_b 5.527
_cell_length_c 5.527
_cell_angle_alpha 60.00
_cell_angle_beta 60.00
_cell_angle_gamma 60.00
loop_
_atom_site_label
_atom_site_fract_x
_atom_site_fract_y
_atom_site_fract_z
Ba1 0.000 0.000 0.000
Zn1 0.750 0.750 0.750
Sb1 0.250 0.250 0.250
```

Computed properties:
Energy relative to the lowest polymorph listed for this composition   154.5 kJ/mol of formula units
Formation energy (no corrections)   -0.1061 eV per atom

***

(6)
B5C7: optimized geometry, PBE.

Geometry as CIF:
```
data_B5C7
_space_group_name_H-M_alt 'P 1'
_space_group_IT_number 1
_space_group_name_Hall 'P 1'
_cell_length_a 2.457
_cell_length_b 2.513
_cell_length_c 12.645
_cell_angle_alpha 90.00
_cell_angle_beta 90.00
_cell_angle_gamma 90.00
loop_
_atom_site_label
_atom_site_fract_x
_atom_site_fract_y
_atom_site_fract_z
B1 0.000 0.000 0.000
B2 0.000 0.000 0.340
B3 0.000 0.500 0.443
B4 0.500 0.000 0.235
B5 0.500 0.500 0.549
C1 0.000 0.000 0.699
C2 0.000 0.500 0.084
C3 0.000 0.500 0.770
C4 0.500 0.000 0.629
C5 0.500 0.000 0.911
C6 0.500 0.500 0.150
C7 0.500 0.500 0.844
```

Computed properties:
ΔE_f   0.31 eV/atom
Energy relative to the lowest polymorph listed for this composition   60.4 kJ/mol of formula units

***

(7)
Pr6CSe3S2: optimized geometry, PBE.

Geometry as CIF:
```
data_Pr6CSe3S2
_space_group_name_H-M_alt 'P 1'
_space_group_IT_number 1
_space_group_name_Hall 'P 1'
_cell_length_a 7.123
_cell_length_b 7.123
_cell_length_c 7.301
_cell_angle_alpha 99.34
_cell_angle_beta 99.34
_cell_angle_gamma 119.92
loop_
_atom_site_label
_atom_site_fract_x
_atom_site_fract_y
_atom_site_fract_z
Pr1 0.073 0.383 0.219
Pr2 0.236 0.236 0.779
Pr3 0.383 0.073 0.219
Pr4 0.617 0.927 0.781
Pr5 0.764 0.764 0.221
Pr6 0.927 0.617 0.781
C1 0.000 0.000 0.000
Se1 0.171 0.829 0.500
Se2 0.500 0.500 0.500
Se3 0.829 0.171 0.500
S1 0.334 0.666 0.000
S2 0.666 0.334 0.000
```

Computed properties:
Formation energy (no corrections)   -1.6597 eV per atom

***

(8)
SrIrF2: optimized geometry, PBE.

Geometry as CIF:
```
data_SrIrF2
_space_group_name_H-M_alt 'P 1'
_space_group_IT_number 1
_space_group_name_Hall 'P 1'
_cell_length_a 5.926
_cell_length_b 5.926
_cell_length_c 5.926
_cell_angle_alpha 40.65
_cell_angle_beta 40.65
_cell_angle_gamma 40.65
loop_
_atom_site_label
_atom_site_fract_x
_atom_site_fract_y
_atom_site_fract_z
Sr1 0.000 0.000 0.000
Ir1 0.500 0.500 0.500
F1 0.373 0.373 0.373
F2 0.627 0.627 0.627
```

Computed properties:
Energy relative to the lowest polymorph listed for this composition   0.0 kJ/mol of formula units
Formation energy (no corrections)   -1.5831 eV per atom

***

(9)
TmSnHg: optimized geometry, PBE.

Geometry as CIF:
```
data_TmSnHg
_space_group_name_H-M_alt 'P 1'
_space_group_IT_number 1
_space_group_name_Hall 'P 1'
_cell_length_a 4.898
_cell_length_b 4.898
_cell_length_c 3.631
_cell_angle_alpha 90.00
_cell_angle_beta 90.00
_cell_angle_gamma 120.00
loop_
_atom_site_label
_atom_site_fract_x
_atom_site_fract_y
_atom_site_fract_z
Tm1 0.000 0.000 0.000
Sn1 0.667 0.333 0.572
Hg1 0.333 0.667 0.313
```

Computed properties:
ΔE_f   -0.40 eV/atom

***

(10)
DySi2Pt5: optimized geometry, PBE.

Geometry as CIF:
```
data_DySi2Pt5
_space_group_name_H-M_alt 'P 1'
_space_group_IT_number 1
_space_group_name_Hall 'P 1'
_cell_length_a 6.324
_cell_length_b 6.324
_cell_length_c 6.324
_cell_angle_alpha 144.11
_cell_angle_beta 112.21
_cell_angle_gamma 79.16
loop_
_atom_site_label
_atom_site_fract_x
_atom_site_fract_y
_atom_site_fract_z
Dy1 0.000 0.000 0.000
Si1 0.252 0.752 0.500
Si2 0.748 0.248 0.500
Pt1 0.150 0.353 0.797
Pt2 0.444 0.647 0.797
Pt3 0.500 0.000 0.500
Pt4 0.556 0.353 0.203
Pt5 0.850 0.647 0.203
```

Computed properties:
Formation energy (no corrections)   -0.9086 eV per atom

***

(11)
BaSc2Pb: optimized geometry, PBE.

Geometry as CIF:
```
data_BaSc2Pb
_space_group_name_H-M_alt 'P 1'
_space_group_IT_number 1
_space_group_name_Hall 'P 1'
_cell_length_a 3.648
_cell_length_b 5.229
_cell_length_c 6.727
_cell_angle_alpha 90.00
_cell_angle_beta 101.19
_cell_angle_gamma 90.00
loop_
_atom_site_label
_atom_site_fract_x
_atom_site_fract_y
_atom_site_fract_z
Ba1 0.000 0.000 0.000
Sc1 0.327 0.500 0.699
Sc2 0.673 0.500 0.301
Pb1 0.500 0.000 0.500
```

Computed properties:
ΔE_f   0.02 eV/atom

***

(12)
NaCu4Pt: optimized geometry, PBE.

Geometry as CIF:
```
data_NaCu4Pt
_space_group_name_H-M_alt 'P 1'
_space_group_IT_number 1
_space_group_name_Hall 'P 1'
_cell_length_a 4.912
_cell_length_b 4.912
_cell_length_c 4.912
_cell_angle_alpha 60.00
_cell_angle_beta 60.00
_cell_angle_gamma 60.00
loop_
_atom_site_label
_atom_site_fract_x
_atom_site_fract_y
_atom_site_fract_z
Na1 0.000 0.000 0.000
Cu1 0.126 0.625 0.625
Cu2 0.625 0.126 0.625
Cu3 0.625 0.625 0.126
Cu4 0.625 0.625 0.625
Pt1 0.250 0.250 0.250
```

Computed properties:
ΔE_f   0.02 eV/atom